# 1
# Ba3Zn3Pt2, optimized geometry, DFT PBE
data_Ba3Zn3Pt2
_cell_length_a 6.4133
_cell_length_b 6.4133
_cell_length_c 16.5782
_cell_angle_alpha 90.00
_cell_angle_beta 90.00
_cell_angle_gamma 138.96
_space_group_name_H-M_alt 'P 1'
_space_group_IT_number 1
loop_
_space_group_symop_operation_xyz
'x,y,z'
loop_
_atom_site_label
_atom_site_type_symbol
_atom_site_fract_x
_atom_site_fract_y
_atom_site_fract_z
_atom_site_occupancy
Ba1 Ba 0.0642 0.9358 0.6035 1
Ba2 Ba 0.0642 0.9358 0.8965 1
Ba3 Ba 0.3576 0.6424 0.7500 1
Ba4 Ba 0.6424 0.3576 0.2500 1
Ba5 Ba 0.9358 0.0642 0.1035 1
Ba6 Ba 0.9358 0.0642 0.3965 1
Zn1 Zn 0.3278 0.6722 0.5364 1
Zn2 Zn 0.3278 0.6722 0.9636 1
Zn3 Zn 0.3388 0.6612 0.2500 1
Zn4 Zn 0.6612 0.3388 0.7500 1
Zn5 Zn 0.6722 0.3278 0.0364 1
Zn6 Zn 0.6722 0.3278 0.4636 1
Pt1 Pt 0.2281 0.7719 0.1098 1
Pt2 Pt 0.2281 0.7719 0.3902 1
Pt3 Pt 0.7719 0.2281 0.6098 1
Pt4 Pt 0.7719 0.2281 0.8902 1
# DOS at the Fermi energy = 10.67 states/eV per cell
# total moment = 0.0 μB/f.u.
# calculated formation energy = -0.54 eV/atom
# energy above the most stable polymorph in this dataset = 0.008 eV per atom

=====

# 2
# Ca2SbRh, optimized geometry, DFT PBE
data_Ca2SbRh
_cell_length_a 5.3259
_cell_length_b 5.3259
_cell_length_c 5.3259
_cell_angle_alpha 126.89
_cell_angle_beta 126.89
_cell_angle_gamma 78.42
_space_group_name_H-M_alt 'P 1'
_space_group_IT_number 1
loop_
_space_group_symop_operation_xyz
'x,y,z'
loop_
_atom_site_label
_atom_site_type_symbol
_atom_site_fract_x
_atom_site_fract_y
_atom_site_fract_z
_atom_site_occupancy
Ca1 Ca 0.2500 0.7500 0.5000 1
Ca2 Ca 0.7500 0.2500 0.5000 1
Sb1 Sb 0.0000 0.0000 0.0000 1
Rh1 Rh 0.5000 0.5000 0.0000 1
# DOS at the Fermi energy = 0.87 states/eV per cell
# total moment = 0.0 μB/f.u.
# raw formation energy = -54.2 kJ per mole of atoms

=====

# 3
# AsIrRuSe2, optimized geometry, DFT PBE
data_AsIrRuSe2
_cell_length_a 4.7851
_cell_length_b 4.7851
_cell_length_c 4.6062
_cell_angle_alpha 90.00
_cell_angle_beta 90.00
_cell_angle_gamma 90.00
_space_group_name_H-M_alt 'P 1'
_space_group_IT_number 1
loop_
_space_group_symop_operation_xyz
'x,y,z'
loop_
_atom_site_label
_atom_site_type_symbol
_atom_site_fract_x
_atom_site_fract_y
_atom_site_fract_z
_atom_site_occupancy
As1 As 0.0000 0.0000 0.0000 1
Ir1 Ir 0.5000 0.5000 0.0000 1
Ru1 Ru 0.0000 0.0000 0.5000 1
Se1 Se 0.0000 0.5000 0.5000 1
Se2 Se 0.5000 0.0000 0.5000 1
# DOS at the Fermi energy = 5.21 states/eV per cell
# total moment = 0.0 μB/f.u.
# raw formation energy = 105.2 kJ per mole of atoms
# energy above the most stable polymorph in this dataset = 0.000 eV per atom

=====

# 4
# La6Nd2Tc, optimized geometry, DFT PBE
data_La6Nd2Tc
_cell_length_a 6.9809
_cell_length_b 9.9186
_cell_length_c 10.0537
_cell_angle_alpha 68.72
_cell_angle_beta 77.45
_cell_angle_gamma 75.02
_space_group_name_H-M_alt 'P 1'
_space_group_IT_number 1
loop_
_space_group_symop_operation_xyz
'x,y,z'
loop_
_atom_site_label
_atom_site_type_symbol
_atom_site_fract_x
_atom_site_fract_y
_atom_site_fract_z
_atom_site_occupancy
La1 La 0.0251 0.1786 0.3622 1
La2 La 0.0811 0.3569 0.6466 1
La3 La 0.1445 0.6395 0.9950 1
La4 La 0.3845 0.6766 0.4205 1
La5 La 0.3929 0.2710 0.9386 1
La6 La 0.4268 0.3720 0.2759 1
La7 La 0.5732 0.6280 0.7241 1
La8 La 0.6071 0.7290 0.0614 1
La9 La 0.6155 0.3234 0.5795 1
La10 La 0.8555 0.3605 0.0050 1
La11 La 0.9189 0.6431 0.3534 1
La12 La 0.9749 0.8214 0.6378 1
Nd1 Nd 0.1495 0.9691 0.1194 1
Nd2 Nd 0.3969 0.0015 0.7085 1
Nd3 Nd 0.6031 0.9985 0.2915 1
Nd4 Nd 0.8505 0.0309 0.8806 1
Tc1 Tc 0.2020 0.5164 0.7557 1
Tc2 Tc 0.7980 0.4836 0.2443 1
# DOS at the Fermi energy = 26.25 states/eV per cell
# total moment = 0.0 μB/f.u.
# calculated formation energy = 0.06 eV/atom

=====

# 5
# Rb2ZrBCl6, optimized geometry, DFT PBE
data_Rb2ZrBCl6
_cell_length_a 7.7335
_cell_length_b 7.7335
_cell_length_c 7.7335
_cell_angle_alpha 124.26
_cell_angle_beta 124.26
_cell_angle_gamma 82.77
_space_group_name_H-M_alt 'P 1'
_space_group_IT_number 1
loop_
_space_group_symop_operation_xyz
'x,y,z'
loop_
_atom_site_label
_atom_site_type_symbol
_atom_site_fract_x
_atom_site_fract_y
_atom_site_fract_z
_atom_site_occupancy
Rb1 Rb 0.2500 0.7500 0.5000 1
Rb2 Rb 0.7500 0.2500 0.5000 1
Zr1 Zr 0.0000 0.0000 0.0000 1
B1 B 0.5000 0.5000 0.0000 1
Cl1 Cl 0.2187 0.2187 0.0000 1
Cl2 Cl 0.2455 0.2455 0.4911 1
Cl3 Cl 0.2455 0.7545 0.0000 1
Cl4 Cl 0.7545 0.2455 0.0000 1
Cl5 Cl 0.7545 0.7545 0.5089 1
Cl6 Cl 0.7813 0.7813 0.0000 1
# DOS at the Fermi energy = 1.83 states/eV per cell
# total moment = 1.0 μB/f.u.
# raw formation energy = -111.8 kJ per mole of atoms

=====

# 6
# Dy9Ho2Tm, optimized geometry, DFT PBE
data_Dy9Ho2Tm
_cell_length_a 11.1437
_cell_length_b 11.1437
_cell_length_c 3.4690
_cell_angle_alpha 90.00
_cell_angle_beta 90.00
_cell_angle_gamma 120.00
_space_group_name_H-M_alt 'P 1'
_space_group_IT_number 1
loop_
_space_group_symop_operation_xyz
'x,y,z'
loop_
_atom_site_label
_atom_site_type_symbol
_atom_site_fract_x
_atom_site_fract_y
_atom_site_fract_z
_atom_site_occupancy
Dy1 Dy 0.0000 0.5000 0.0000 1
Dy2 Dy 0.1754 0.3507 0.5000 1
Dy3 Dy 0.1754 0.8246 0.5000 1
Dy4 Dy 0.3507 0.1754 0.5000 1
Dy5 Dy 0.5000 0.0000 0.0000 1
Dy6 Dy 0.5000 0.5000 0.0000 1
Dy7 Dy 0.6493 0.8246 0.5000 1
Dy8 Dy 0.8246 0.1754 0.5000 1
Dy9 Dy 0.8246 0.6493 0.5000 1
Ho1 Ho 0.3333 0.6667 0.0000 1
Ho2 Ho 0.6667 0.3333 0.0000 1
Tm1 Tm 0.0000 0.0000 0.0000 1
# DOS at the Fermi energy = 19.03 states/eV per cell
# total moment = 0.0 μB/f.u.
# calculated formation energy = 0.06 eV/atom
# energy above the most stable polymorph in this dataset = 0.035 eV per atom

=====

# 7
# BaI2BrO, optimized geometry, DFT PBE
data_BaI2BrO
_cell_length_a 6.3150
_cell_length_b 6.3150
_cell_length_c 4.1697
_cell_angle_alpha 90.00
_cell_angle_beta 90.00
_cell_angle_gamma 90.00
_space_group_name_H-M_alt 'P 1'
_space_group_IT_number 1
loop_
_space_group_symop_operation_xyz
'x,y,z'
loop_
_atom_site_label
_atom_site_type_symbol
_atom_site_fract_x
_atom_site_fract_y
_atom_site_fract_z
_atom_site_occupancy
Ba1 Ba 0.0000 0.0000 0.0000 1
I1 I 0.0000 0.5000 0.5000 1
I2 I 0.5000 0.0000 0.5000 1
Br1 Br 0.5000 0.5000 0.5000 1
O1 O 0.5000 0.5000 0.0000 1
# DOS at the Fermi energy = 2.31 states/eV per cell
# total moment = 0.0 μB/f.u.
# raw formation energy = -47.2 kJ per mole of atoms
# energy above the most stable polymorph in this dataset = 0.000 eV per atom

=====

# 8
# PIr4Br, optimized geometry, DFT PBE
data_PIr4Br
_cell_length_a 5.2785
_cell_length_b 5.2785
_cell_length_c 5.2785
_cell_angle_alpha 60.00
_cell_angle_beta 60.00
_cell_angle_gamma 60.00
_space_group_name_H-M_alt 'P 1'
_space_group_IT_number 1
loop_
_space_group_symop_operation_xyz
'x,y,z'
loop_
_atom_site_label
_atom_site_type_symbol
_atom_site_fract_x
_atom_site_fract_y
_atom_site_fract_z
_atom_site_occupancy
P1 P 0.0000 0.0000 0.0000 1
Ir1 Ir 0.1229 0.6257 0.6257 1
Ir2 Ir 0.6257 0.1229 0.6257 1
Ir3 Ir 0.6257 0.6257 0.1229 1
Ir4 Ir 0.6257 0.6257 0.6257 1
Br1 Br 0.2500 0.2500 0.2500 1
# DOS at the Fermi energy = 12.27 states/eV per cell
# total moment = 2.0 μB/f.u.
# raw formation energy = 116.8 kJ per mole of atoms

=====

Question: Which of these has the highest total moment?
Answer: PIr4Br

=====

Question: Which formula does entry 4 have?
Answer: La6Nd2Tc

=====

Question: Which formula does entry 2 have?
Answer: Ca2SbRh